*1*
# KUVO6, relaxed, DFT PBE with a Hubbard U
data_KUVO6
_chemical_formula_sum 'K4 U4 V4 O24'
_space_group_name_H-M_alt 'P 1'
_space_group_IT_number 1
_cell_length_a 6.913
_cell_length_b 8.437
_cell_length_c 10.613
_cell_angle_alpha 90.00
_cell_angle_beta 100.19
_cell_angle_gamma 90.00
loop_
_space_group_symop_operation_xyz
'x,y,z'
loop_
_atom_site_label
_atom_site_fract_x
_atom_site_fract_y
_atom_site_fract_z
K1 0.025 0.209 0.332
K2 0.025 0.291 0.832
K3 0.975 0.709 0.168
K4 0.975 0.791 0.668
U1 0.490 0.019 0.180
U2 0.490 0.481 0.680
U3 0.510 0.519 0.320
U4 0.510 0.981 0.820
V1 0.386 0.646 0.949
V2 0.386 0.854 0.449
V3 0.614 0.146 0.551
V4 0.614 0.354 0.051
O1 0.150 0.629 0.952
O2 0.150 0.871 0.452
O3 0.227 0.067 0.143
O4 0.227 0.433 0.643
O5 0.247 0.030 0.780
O6 0.247 0.470 0.280
O7 0.412 0.711 0.786
O8 0.412 0.789 0.286
O9 0.460 0.654 0.506
O10 0.460 0.846 0.006
O11 0.467 0.060 0.395
O12 0.467 0.440 0.895
O13 0.533 0.560 0.105
O14 0.533 0.940 0.605
O15 0.540 0.154 0.994
O16 0.540 0.346 0.494
O17 0.588 0.211 0.714
O18 0.588 0.289 0.214
O19 0.753 0.530 0.720
O20 0.753 0.970 0.220
O21 0.773 0.567 0.357
O22 0.773 0.933 0.857
O23 0.850 0.129 0.548
O24 0.850 0.371 0.048
# Space group: P2_1/c
# DOS(E_F), states/eV/cell: 0.0

*2*
# KUVO6, relaxed, DFT PBE with a Hubbard U
data_KUVO6
_chemical_formula_sum 'K1 U1 V1 O6'
_space_group_name_H-M_alt 'P 1'
_space_group_IT_number 1
_cell_length_a 6.130
_cell_length_b 6.130
_cell_length_c 5.804
_cell_angle_alpha 92.29
_cell_angle_beta 92.29
_cell_angle_gamma 129.87
loop_
_space_group_symop_operation_xyz
'x,y,z'
loop_
_atom_site_label
_atom_site_fract_x
_atom_site_fract_y
_atom_site_fract_z
K1 0.000 0.000 0.000
U1 0.307 0.693 0.500
V1 0.591 0.409 0.500
O1 0.056 0.444 0.255
O2 0.344 0.376 0.669
O3 0.413 0.077 0.341
O4 0.556 0.944 0.745
O5 0.624 0.656 0.331
O6 0.923 0.587 0.659
# Space group: C2
# DOS(E_F), states/eV/cell: 0.0

It is *2* that is the least stable of them.

*1*
# KV3O8, relaxed, DFT PBE with a Hubbard U
data_KV3O8
_chemical_formula_sum 'K2 V6 O16'
_space_group_name_H-M_alt 'P 1'
_space_group_IT_number 1
_cell_length_a 5.135
_cell_length_b 8.745
_cell_length_c 7.985
_cell_angle_alpha 90.00
_cell_angle_beta 101.24
_cell_angle_gamma 90.00
loop_
_space_group_symop_operation_xyz
'x,y,z'
loop_
_atom_site_label
_atom_site_fract_x
_atom_site_fract_y
_atom_site_fract_z
K1 0.018 0.250 0.450
K2 0.982 0.750 0.550
V1 0.075 0.250 0.933
V2 0.458 0.558 0.181
V3 0.458 0.942 0.181
V4 0.542 0.058 0.819
V5 0.542 0.442 0.819
V6 0.925 0.750 0.067
O1 0.076 0.750 0.905
O2 0.135 0.605 0.217
O3 0.135 0.895 0.217
O4 0.328 0.090 0.998
O5 0.328 0.410 0.998
O6 0.393 0.250 0.748
O7 0.399 0.554 0.664
O8 0.399 0.946 0.664
O9 0.601 0.054 0.336
O10 0.601 0.446 0.336
O11 0.607 0.750 0.252
O12 0.672 0.590 0.002
O13 0.672 0.910 0.002
O14 0.865 0.105 0.783
O15 0.865 0.395 0.783
O16 0.924 0.250 0.095
# Space group: P2_1/m
# DOS(E_F), states/eV/cell: 0.0

*2*
# KV3O8, relaxed, DFT PBE with a Hubbard U
data_KV3O8
_chemical_formula_sum 'K1 V3 O8'
_space_group_name_H-M_alt 'P 1'
_space_group_IT_number 1
_cell_length_a 8.743
_cell_length_b 8.743
_cell_length_c 8.743
_cell_angle_alpha 34.82
_cell_angle_beta 34.82
_cell_angle_gamma 34.82
loop_
_space_group_symop_operation_xyz
'x,y,z'
loop_
_atom_site_label
_atom_site_fract_x
_atom_site_fract_y
_atom_site_fract_z
K1 0.000 0.000 0.000
V1 0.234 0.234 0.234
V2 0.500 0.500 0.500
V3 0.766 0.766 0.766
O1 0.140 0.720 0.507
O2 0.280 0.493 0.860
O3 0.301 0.301 0.301
O4 0.493 0.860 0.280
O5 0.507 0.140 0.720
O6 0.699 0.699 0.699
O7 0.720 0.507 0.140
O8 0.860 0.280 0.493
# Space group: R-3
# DOS(E_F), states/eV/cell: 0.0

It is *2* that is the least stable of them.

*1*
# KV4O10, relaxed, DFT PBE with a Hubbard U
data_KV4O10
_chemical_formula_sum 'K2 V8 O20'
_space_group_name_H-M_alt 'P 1'
_space_group_IT_number 1
_cell_length_a 6.150
_cell_length_b 6.150
_cell_length_c 19.365
_cell_angle_alpha 90.00
_cell_angle_beta 90.00
_cell_angle_gamma 144.89
loop_
_space_group_symop_operation_xyz
'x,y,z'
loop_
_atom_site_label
_atom_site_fract_x
_atom_site_fract_y
_atom_site_fract_z
K1 0.081 0.919 0.750
K2 0.919 0.081 0.250
V1 0.269 0.731 0.082
V2 0.269 0.731 0.418
V3 0.436 0.564 0.579
V4 0.436 0.564 0.921
V5 0.564 0.436 0.079
V6 0.564 0.436 0.421
V7 0.731 0.269 0.582
V8 0.731 0.269 0.918
O1 0.101 0.899 0.066
O2 0.101 0.899 0.434
O3 0.260 0.740 0.560
O4 0.260 0.740 0.940
O5 0.292 0.708 0.165
O6 0.292 0.708 0.335
O7 0.420 0.580 0.048
O8 0.420 0.580 0.452
O9 0.455 0.545 0.663
O10 0.455 0.545 0.837
O11 0.545 0.455 0.163
O12 0.545 0.455 0.337
O13 0.580 0.420 0.548
O14 0.580 0.420 0.952
O15 0.708 0.292 0.665
O16 0.708 0.292 0.835
O17 0.740 0.260 0.060
O18 0.740 0.260 0.440
O19 0.899 0.101 0.566
O20 0.899 0.101 0.934
# Space group: Cmcm
# DOS(E_F), states/eV/cell: 4.2

*2*
# KV4O10, relaxed, DFT PBE with a Hubbard U
data_KV4O10
_chemical_formula_sum 'K2 V8 O20'
_space_group_name_H-M_alt 'P 1'
_space_group_IT_number 1
_cell_length_a 6.143
_cell_length_b 6.143
_cell_length_c 20.273
_cell_angle_alpha 90.00
_cell_angle_beta 90.00
_cell_angle_gamma 144.67
loop_
_space_group_symop_operation_xyz
'x,y,z'
loop_
_atom_site_label
_atom_site_fract_x
_atom_site_fract_y
_atom_site_fract_z
K1 0.106 0.894 0.750
K2 0.894 0.106 0.250
V1 0.270 0.730 0.577
V2 0.270 0.730 0.923
V3 0.434 0.566 0.075
V4 0.434 0.566 0.425
V5 0.566 0.434 0.575
V6 0.566 0.434 0.925
V7 0.730 0.270 0.077
V8 0.730 0.270 0.423
O1 0.101 0.899 0.562
O2 0.101 0.899 0.938
O3 0.260 0.740 0.056
O4 0.260 0.740 0.444
O5 0.284 0.716 0.657
O6 0.284 0.716 0.843
O7 0.420 0.580 0.546
O8 0.420 0.580 0.954
O9 0.446 0.554 0.156
O10 0.446 0.554 0.344
O11 0.554 0.446 0.656
O12 0.554 0.446 0.844
O13 0.580 0.420 0.046
O14 0.580 0.420 0.454
O15 0.716 0.284 0.157
O16 0.716 0.284 0.343
O17 0.740 0.260 0.556
O18 0.740 0.260 0.944
O19 0.899 0.101 0.062
O20 0.899 0.101 0.438
# Space group: Cmcm
# DOS(E_F), states/eV/cell: 5.5

It is *2* that is the least stable of them.

*1*
# K2V3O8, relaxed, DFT PBE with a Hubbard U
data_K2V3O8
_chemical_formula_sum 'K4 V6 O16'
_space_group_name_H-M_alt 'P 1'
_space_group_IT_number 1
_cell_length_a 9.024
_cell_length_b 9.024
_cell_length_c 5.488
_cell_angle_alpha 90.00
_cell_angle_beta 90.00
_cell_angle_gamma 90.00
loop_
_space_group_symop_operation_xyz
'x,y,z'
loop_
_atom_site_label
_atom_site_fract_x
_atom_site_fract_y
_atom_site_fract_z
K1 0.170 0.330 0.000
K2 0.330 0.830 0.000
K3 0.670 0.170 0.000
K4 0.830 0.670 0.000
V1 0.000 0.000 0.459
V2 0.134 0.634 0.467
V3 0.366 0.134 0.467
V4 0.500 0.500 0.459
V5 0.634 0.866 0.467
V6 0.866 0.366 0.467
O1 0.000 0.000 0.758
O2 0.000 0.500 0.347
O3 0.087 0.808 0.353
O4 0.131 0.631 0.770
O5 0.192 0.087 0.353
O6 0.308 0.587 0.353
O7 0.369 0.131 0.770
O8 0.413 0.308 0.353
O9 0.500 0.000 0.347
O10 0.500 0.500 0.758
O11 0.587 0.692 0.353
O12 0.631 0.869 0.770
O13 0.692 0.413 0.353
O14 0.808 0.913 0.353
O15 0.869 0.369 0.770
O16 0.913 0.192 0.353
# Space group: P4bm
# DOS(E_F), states/eV/cell: 0.0

*2*
# K2V3O8, relaxed, DFT PBE with a Hubbard U
data_K2V3O8
_chemical_formula_sum 'K2 V3 O8'
_space_group_name_H-M_alt 'P 1'
_space_group_IT_number 1
_cell_length_a 5.276
_cell_length_b 6.878
_cell_length_c 7.130
_cell_angle_alpha 111.66
_cell_angle_beta 101.02
_cell_angle_gamma 105.88
loop_
_space_group_symop_operation_xyz
'x,y,z'
loop_
_atom_site_label
_atom_site_fract_x
_atom_site_fract_y
_atom_site_fract_z
K1 0.000 0.000 0.000
K2 0.337 0.875 0.465
V1 0.156 0.488 0.825
V2 0.656 0.425 0.958
V3 0.694 0.419 0.361
O1 0.011 0.531 0.594
O2 0.073 0.641 0.044
O3 0.251 0.262 0.846
O4 0.398 0.289 0.390
O5 0.515 0.641 0.888
O6 0.676 0.629 0.285
O7 0.709 0.239 0.118
O8 0.745 0.265 0.748
# Space group: P1
# DOS(E_F), states/eV/cell: 0.0

It is *2* that is the least stable of them.

*1*
# K2W2O5, relaxed, DFT PBE with a Hubbard U
data_K2W2O5
_chemical_formula_sum 'K4 W4 O10'
_space_group_name_H-M_alt 'P 1'
_space_group_IT_number 1
_cell_length_a 9.076
_cell_length_b 9.076
_cell_length_c 9.076
_cell_angle_alpha 54.97
_cell_angle_beta 141.77
_cell_angle_gamma 142.05
loop_
_space_group_symop_operation_xyz
'x,y,z'
loop_
_atom_site_label
_atom_site_fract_x
_atom_site_fract_y
_atom_site_fract_z
K1 0.020 0.107 0.127
K2 0.020 0.393 0.413
K3 0.980 0.607 0.587
K4 0.980 0.893 0.873
W1 0.487 0.487 0.000
W2 0.487 0.987 0.500
W3 0.492 0.806 0.185
W4 0.621 0.306 0.815
O1 0.017 0.621 0.896
O2 0.452 0.120 0.605
O3 0.452 0.347 0.832
O4 0.492 0.233 0.244
O5 0.492 0.748 0.759
O6 0.515 0.620 0.168
O7 0.515 0.847 0.395
O8 0.725 0.121 0.104
O9 0.989 0.248 0.756
O10 0.989 0.733 0.241
# Space group: Ima2
# DOS(E_F), states/eV/cell: 1.7

*2*
# K2W2O5, relaxed, DFT PBE with a Hubbard U
data_K2W2O5
_chemical_formula_sum 'K4 W4 O10'
_space_group_name_H-M_alt 'P 1'
_space_group_IT_number 1
_cell_length_a 5.751
_cell_length_b 5.858
_cell_length_c 9.766
_cell_angle_alpha 82.96
_cell_angle_beta 72.98
_cell_angle_gamma 89.72
loop_
_space_group_symop_operation_xyz
'x,y,z'
loop_
_atom_site_label
_atom_site_fract_x
_atom_site_fract_y
_atom_site_fract_z
K1 0.000 0.000 0.000
K2 0.200 0.101 0.598
K3 0.495 0.521 0.018
K4 0.710 0.584 0.577
W1 0.103 0.552 0.796
W2 0.377 0.027 0.235
W3 0.599 0.051 0.802
W4 0.815 0.085 0.363
O1 0.034 0.849 0.289
O2 0.141 0.264 0.308
O3 0.338 0.316 0.800
O4 0.358 0.803 0.791
O5 0.482 0.999 0.025
O6 0.512 0.876 0.385
O7 0.700 0.238 0.213
O8 0.724 0.104 0.564
O9 0.849 0.302 0.797
O10 0.865 0.787 0.795
# Space group: P1

It is *1* that is the least stable of them.

*1*
# KW4O12, relaxed, DFT PBE with a Hubbard U
data_KW4O12
_chemical_formula_sum 'K1 W4 O12'
_space_group_name_H-M_alt 'P 1'
_space_group_IT_number 1
_cell_length_a 6.750
_cell_length_b 6.750
_cell_length_c 6.750
_cell_angle_alpha 109.47
_cell_angle_beta 109.47
_cell_angle_gamma 109.47
loop_
_space_group_symop_operation_xyz
'x,y,z'
loop_
_atom_site_label
_atom_site_fract_x
_atom_site_fract_y
_atom_site_fract_z
K1 0.000 0.000 0.000
W1 0.000 0.000 0.500
W2 0.000 0.500 0.000
W3 0.500 0.000 0.000
W4 0.500 0.500 0.500
O1 0.000 0.249 0.751
O2 0.000 0.751 0.249
O3 0.249 0.000 0.751
O4 0.249 0.249 0.498
O5 0.249 0.498 0.249
O6 0.249 0.751 0.000
O7 0.498 0.249 0.249
O8 0.502 0.751 0.751
O9 0.751 0.000 0.249
O10 0.751 0.249 0.000
O11 0.751 0.502 0.751
O12 0.751 0.751 0.502
# Space group: Im-3m
# DOS(E_F), states/eV/cell: 2.0

*2*
# KW4O12, relaxed, DFT PBE with a Hubbard U
data_KW4O12
_chemical_formula_sum 'K3 W12 O36'
_space_group_name_H-M_alt 'P 1'
_space_group_IT_number 1
_cell_length_a 7.526
_cell_length_b 7.526
_cell_length_c 15.485
_cell_angle_alpha 90.00
_cell_angle_beta 90.00
_cell_angle_gamma 120.00
loop_
_space_group_symop_operation_xyz
'x,y,z'
loop_
_atom_site_label
_atom_site_fract_x
_atom_site_fract_y
_atom_site_fract_z
K1 0.000 0.000 0.000
K2 0.000 0.000 0.313
K3 0.000 0.000 0.628
W1 0.000 0.500 0.191
W2 0.000 0.500 0.442
W3 0.000 0.500 0.692
W4 0.000 0.500 0.941
W5 0.500 0.000 0.191
W6 0.500 0.000 0.442
W7 0.500 0.000 0.692
W8 0.500 0.000 0.941
W9 0.500 0.500 0.191
W10 0.500 0.500 0.442
W11 0.500 0.500 0.692
W12 0.500 0.500 0.941
O1 0.000 0.500 0.068
O2 0.000 0.500 0.317
O3 0.000 0.500 0.565
O4 0.000 0.500 0.816
O5 0.211 0.422 0.193
O6 0.211 0.422 0.690
O7 0.211 0.422 0.943
O8 0.211 0.423 0.441
O9 0.211 0.789 0.193
O10 0.211 0.789 0.441
O11 0.211 0.789 0.690
O12 0.211 0.789 0.943
O13 0.422 0.211 0.193
O14 0.422 0.211 0.690
O15 0.422 0.211 0.943
O16 0.423 0.211 0.441
O17 0.500 0.000 0.068
O18 0.500 0.000 0.317
O19 0.500 0.000 0.565
O20 0.500 0.000 0.816
O21 0.500 0.500 0.068
O22 0.500 0.500 0.317
O23 0.500 0.500 0.565
O24 0.500 0.500 0.816
O25 0.577 0.789 0.441
O26 0.578 0.789 0.193
O27 0.578 0.789 0.690
O28 0.578 0.789 0.943
O29 0.789 0.211 0.193
O30 0.789 0.211 0.441
O31 0.789 0.211 0.690
O32 0.789 0.211 0.943
O33 0.789 0.577 0.441
O34 0.789 0.578 0.193
O35 0.789 0.578 0.690
O36 0.789 0.578 0.943
# Space group: P6mm
# DOS(E_F), states/eV/cell: 3.4

It is *1* that is the least stable of them.